[1]
Material: SrEuInSn
Method: DFT, PBE-GGA
State: optimized geometry

abc: 8.0040 8.0040 8.0040
angles: 90.00 90.00 90.00
Fractional coordinates of all 16 atoms:
Sr  0.0000  0.0000  0.0000
Sr  0.0000  0.5000  0.5000
Sr  0.5000  0.0000  0.5000
Sr  0.5000  0.5000  0.0000
Eu  0.0000  0.0000  0.5000
Eu  0.0000  0.5000  0.0000
Eu  0.5000  0.0000  0.0000
Eu  0.5000  0.5000  0.5000
In  0.2500  0.2500  0.7500
In  0.2500  0.7500  0.2500
In  0.7500  0.2500  0.2500
In  0.7500  0.7500  0.7500
Sn  0.2500  0.2500  0.2500
Sn  0.2500  0.7500  0.7500
Sn  0.7500  0.2500  0.7500
Sn  0.7500  0.7500  0.2500

Results
The calculation puts the formation energy at -530 meV per atom.

***

[2]
Material: BeGeB3
Method: DFT, PBE-GGA
State: optimized geometry

abc: 3.7522 3.7522 3.7522
angles: 90.00 90.00 90.00
Fractional coordinates of all 5 atoms:
Be  0.0000  0.0000  0.0000
Ge  0.5000  0.5000  0.5000
B  0.0000  0.0000  0.5000
B  0.0000  0.5000  0.0000
B  0.5000  0.0000  0.0000

Results
Its polymorph energy (0 for the lowest one) is 0 meV/atom. The calculation puts the formation energy at 1604 meV per atom.

***

[3]
Material: Ca2Sm2Pt3
Method: DFT, PBE-GGA
State: optimized geometry

abc: 4.9700 4.9806 8.6412
angles: 73.29 73.37 60.07
Fractional coordinates of all 7 atoms:
Ca  0.1289  0.1284  0.1141
Ca  0.8711  0.8716  0.8859
Sm  0.3788  0.3779  0.3656
Sm  0.6212  0.6221  0.6344
Pt  0.2570  0.2574  0.7282
Pt  0.5000  0.5000  0.0000
Pt  0.7430  0.7426  0.2718

Results
The calculation puts the formation energy at -924 meV per atom.

***

[4]
Material: TaMn2Fe
Method: DFT, PBE-GGA
State: optimized geometry

abc: 3.0272 3.0272 5.8095
angles: 90.00 90.00 90.00
Fractional coordinates of all 4 atoms:
Ta  0.0000  0.0000  0.0000
Mn  0.0000  0.0000  0.4918
Mn  0.5000  0.5000  0.7162
Fe  0.5000  0.5000  0.2477

Results
The calculation puts the formation energy at -23 meV per atom.

***

[5]
Material: PmDyCuOs
Method: DFT, PBE-GGA
State: optimized geometry

abc: 6.9522 6.9522 6.9522
angles: 90.00 90.00 90.00
Fractional coordinates of all 16 atoms:
Pm  0.0000  0.0000  0.0000
Pm  0.0000  0.5000  0.5000
Pm  0.5000  0.0000  0.5000
Pm  0.5000  0.5000  0.0000
Dy  0.0000  0.0000  0.5000
Dy  0.0000  0.5000  0.0000
Dy  0.5000  0.0000  0.0000
Dy  0.5000  0.5000  0.5000
Cu  0.2500  0.2500  0.2500
Cu  0.2500  0.7500  0.7500
Cu  0.7500  0.2500  0.7500
Cu  0.7500  0.7500  0.2500
Os  0.2500  0.2500  0.7500
Os  0.2500  0.7500  0.2500
Os  0.7500  0.2500  0.2500
Os  0.7500  0.7500  0.7500

Results
The calculation puts the formation energy at -176 meV per atom.

***

[6]
Material: NdTiCd11
Method: DFT, PBE-GGA
State: optimized geometry

abc: 7.6109 7.6109 7.6590
angles: 98.80 98.80 133.63
Fractional coordinates of all 13 atoms:
Nd  0.0000  0.0000  0.0000
Ti  0.5000  0.5000  0.5000
Cd  0.0000  0.0000  0.5000
Cd  0.0000  0.5000  0.0000
Cd  0.0210  0.3615  0.3511
Cd  0.2932  0.5070  0.7828
Cd  0.3615  0.0210  0.3511
Cd  0.4930  0.7068  0.2172
Cd  0.5000  0.0000  0.0000
Cd  0.5070  0.2932  0.7828
Cd  0.6385  0.9790  0.6489
Cd  0.7068  0.4930  0.2172
Cd  0.9790  0.6385  0.6489

Results
The calculation puts the formation energy at -83 meV per atom.

***

[7]
Material: Pr8SiAg2
Method: DFT, PBE-GGA
State: optimized geometry

abc: 9.7683 9.7683 7.2136
angles: 108.75 108.75 31.43
Fractional coordinates of all 11 atoms:
Pr  0.0189  0.0189  0.2833
Pr  0.2003  0.2003  0.8310
Pr  0.3339  0.3339  0.5097
Pr  0.4093  0.4093  0.0430
Pr  0.5907  0.5907  0.9570
Pr  0.6661  0.6661  0.4903
Pr  0.7997  0.7997  0.1690
Pr  0.9811  0.9811  0.7167
Si  0.5000  0.5000  0.5000
Ag  0.1734  0.1734  0.2259
Ag  0.8266  0.8266  0.7741

Results
The calculation puts the raw formation energy at -158.5 meV per atom.

***

[8]
Material: TaHgW2
Method: DFT, PBE-GGA
State: optimized geometry

abc: 2.7393 4.4982 5.7737
angles: 90.00 90.00 90.00
Fractional coordinates of all 4 atoms:
Ta  0.0000  0.0000  0.0000
Hg  0.0000  0.0000  0.5000
W  0.5000  0.5000  0.2376
W  0.5000  0.5000  0.7624

Results
The calculation puts the formation energy at 563 meV per atom.

***

[9]
Material: SrZrAg
Method: DFT, PBE-GGA
State: optimized geometry

abc: 7.0778 7.0778 7.0778
angles: 90.00 90.00 90.00
Fractional coordinates of all 12 atoms:
Sr  0.0000  0.0000  0.0000
Sr  0.0000  0.5000  0.5000
Sr  0.5000  0.0000  0.5000
Sr  0.5000  0.5000  0.0000
Zr  0.2500  0.2500  0.7500
Zr  0.2500  0.7500  0.2500
Zr  0.7500  0.2500  0.2500
Zr  0.7500  0.7500  0.7500
Ag  0.2500  0.2500  0.2500
Ag  0.2500  0.7500  0.7500
Ag  0.7500  0.2500  0.7500
Ag  0.7500  0.7500  0.2500

Results
Its polymorph energy (0 for the lowest one) is 1031 meV/atom. The calculation puts the formation energy at 1214 meV per atom.

***

[10]
Material: LaSc2GeC
Method: DFT, PBE-GGA
State: optimized geometry

abc: 4.9491 4.9491 5.7085
angles: 90.00 90.00 90.00
Fractional coordinates of all 5 atoms:
La  0.0000  0.0000  0.0000
Sc  0.0000  0.5000  0.5000
Sc  0.5000  0.0000  0.5000
Ge  0.0000  0.0000  0.5000
C  0.5000  0.5000  0.0000

Results
Its polymorph energy (0 for the lowest one) is 1457 meV/atom. The calculation puts the formation energy at 947 meV per atom.

***

[11]
Material: LaMo2Os
Method: DFT, PBE-GGA
State: optimized geometry

abc: 3.2934 3.2934 7.4252
angles: 90.00 90.00 90.00
Fractional coordinates of all 4 atoms:
La  0.0000  0.0000  0.0000
Mo  0.5000  0.5000  0.3257
Mo  0.5000  0.5000  0.6743
Os  0.0000  0.0000  0.5000

Results
Its polymorph energy (0 for the lowest one) is 115 meV/atom. The calculation puts the formation energy at 469 meV per atom.

***

[12]
Material: LaPmGdSc
Method: DFT, PBE-GGA
State: optimized geometry

abc: 8.0143 8.0143 8.0143
angles: 90.00 90.00 90.00
Fractional coordinates of all 16 atoms:
La  0.0000  0.0000  0.0000
La  0.0000  0.5000  0.5000
La  0.5000  0.0000  0.5000
La  0.5000  0.5000  0.0000
Pm  0.2500  0.2500  0.7500
Pm  0.2500  0.7500  0.2500
Pm  0.7500  0.2500  0.2500
Pm  0.7500  0.7500  0.7500
Gd  0.0000  0.0000  0.5000
Gd  0.0000  0.5000  0.0000
Gd  0.5000  0.0000  0.0000
Gd  0.5000  0.5000  0.5000
Sc  0.2500  0.2500  0.2500
Sc  0.2500  0.7500  0.7500
Sc  0.7500  0.2500  0.7500
Sc  0.7500  0.7500  0.2500

Results
The calculation puts the formation energy at 122 meV per atom.

***

Number 1: DOS(E_F) 27.39 states/eV/cell. Number 2: DOS(E_F) 2.75 states/eV/cell. Number 3: DOS(E_F) 5.01 states/eV/cell. Number 4: DOS(E_F) 2.36 states/eV/cell. Number 5: DOS(E_F) 10.10 states/eV/cell. Number 6: DOS(E_F) 7.02 states/eV/cell. Number 7: DOS(E_F) 11.21 states/eV/cell. Number 8: DOS(E_F) 3.46 states/eV/cell. Number 9: DOS(E_F) 10.54 states/eV/cell. Number 10: DOS(E_F) 3.67 states/eV/cell. Number 11: DOS(E_F) 4.22 states/eV/cell. Number 12: DOS(E_F) 31.63 states/eV/cell.